# MgHg2Se (PBE, optimized geometry)
# Crystal system = tetragonal
# Energy relative to the elements, uncorrected = -176 kJ/mol of formula units
# Size of the total moment = 0.00 μB per formula unit
# Total energy = -7.504 eV/cell
data_MgHg2Se
_chemical_formula_sum 'Mg1 Hg2 Se1'
_symmetry_space_group_name_H-M 'P 4 m m'
_symmetry_Int_Tables_number 99
_cell_length_a 3.695
_cell_length_b 3.695
_cell_length_c 8.903
_cell_angle_alpha 90.00
_cell_angle_beta 90.00
_cell_angle_gamma 90.00
loop_
_symmetry_equiv_pos_as_xyz
'x,y,z'
'-y,x,z'
'-x,-y,z'
'y,-x,z'
'-x,y,z'
'y,x,z'
'x,-y,z'
'-y,-x,z'
loop_
_atom_site_label
_atom_site_type_symbol
_atom_site_fract_x
_atom_site_fract_y
_atom_site_fract_z
_atom_site_occupancy
Mg1 Mg 0.000 0.000 0.000 1
Hg1 Hg 0.000 0.000 0.330 1
Hg2 Hg 0.500 0.500 0.578 1
Se1 Se 0.500 0.500 0.960 1